Ho2ZrS5 | PBE-GGA | optimized geometry

Unit cell a=7.2524 b=7.7264 c=11.6009 alpha=90.00 beta=90.00 gamma=90.00
Sites, in units of the cell vectors:
Zr (0.0790, 0.7500, 0.4938)
Zr (0.4210, 0.7500, 0.9938)
Zr (0.9210, 0.2500, 0.5062)
Zr (0.5790, 0.2500, 0.0062)
S (0.6597, 0.9624, 0.0965)
S (0.8287, 0.7500, 0.3185)
S (0.3065, 0.7500, 0.2087)
S (0.4504, 0.7500, 0.4975)
S (0.6597, 0.5376, 0.0965)
S (0.6935, 0.2500, 0.7913)
S (0.3403, 0.4624, 0.9035)
S (0.9504, 0.2500, 0.0025)
S (0.0496, 0.7500, 0.9975)
S (0.6713, 0.7500, 0.8185)
S (0.8403, 0.5376, 0.5965)
S (0.3403, 0.0376, 0.9035)
S (0.5496, 0.2500, 0.5025)
S (0.8403, 0.9624, 0.5965)
S (0.1935, 0.7500, 0.7087)
S (0.1597, 0.0376, 0.4035)
S (0.8065, 0.2500, 0.2913)
S (0.1597, 0.4624, 0.4035)
S (0.1713, 0.2500, 0.6815)
S (0.3287, 0.2500, 0.1815)
Ho (0.5191, 0.4970, 0.3205)
Ho (0.9809, 0.0030, 0.8205)
Ho (0.4809, 0.5030, 0.6795)
Ho (0.9809, 0.4970, 0.8205)
Ho (0.0191, 0.9970, 0.1795)
Ho (0.4809, 0.9970, 0.6795)
Ho (0.0191, 0.5030, 0.1795)
Ho (0.5191, 0.0030, 0.3205)

Computed properties:
The uncorrected formation energy is -1.865 eV per atom. As for the excess energy over the best structure of this formula in the dataset: 0.00 eV per formula unit. The calculation puts the electronic total energy at -6.657 eV per atom.